# CaSi4Pd4 | Alexandria | GGA-PBE | optimized geometry
# energy relative to the elements, uncorrected	-589	meV per atom
# uncorrected energy	-5.529	eV/atom
# magnetization	0.00	μB per formula unit
data_CaSi4Pd4
_space_group_name_H-M_alt 'P 42/n m c'
_space_group_IT_number 137
_cell_length_a 6.0286
_cell_length_b 6.0286
_cell_length_c 8.3341
_cell_angle_alpha 90.00
_cell_angle_beta 90.00
_cell_angle_gamma 90.00
loop_
_space_group_symop_operation_xyz
'x,y,z'
'-x,-y,-z'
'-y+1/2,x,z+1/2'
'y+1/2,-x,-z+1/2'
'-x+1/2,-y+1/2,z'
'x+1/2,y+1/2,-z'
'y,-x+1/2,z+1/2'
'-y,x+1/2,-z+1/2'
'x+1/2,-y,-z'
'-x+1/2,y,z'
'-y,-x,-z+1/2'
'y,x,z+1/2'
'-x,y+1/2,-z'
'x,-y+1/2,z'
'y+1/2,x+1/2,-z+1/2'
'-y+1/2,-x+1/2,z+1/2'
loop_
_atom_site_label
_atom_site_type_symbol
_atom_site_fract_x
_atom_site_fract_y
_atom_site_fract_z
_atom_site_occupancy
Ca1 Ca 0.2500 0.7500 0.2500 1
Si1 Si 0.0538 0.2500 0.0770 1
Pd1 Pd 0.0143 0.2500 0.3716 1